Computed, not measured: Pr3Nd3Tm2 after structural relaxation at the GGA-PBE level of DFT.

The structure in POSCAR format:
```
Pr3Nd3Tm2
1.0
5.175 0.000 0.000
0.000 5.176 -0.002
-2.588 -2.592 10.223
Nd Pr Tm
3 3 2
Cartesian
2.588 0.000 0.000
2.588 2.587 2.624
0.000 -0.003 7.597
2.588 2.585 7.597
0.000 2.588 -0.001
0.000 -0.001 2.624
2.588 -0.002 5.113
0.000 2.586 5.108
```

Computed properties:
- spin magnetization (μB/f.u.) = 0.00
- calculated total energy (eV/atom) = -4.678
- formation energy from the elements (eV per atom) = 0.02
- D(E_F) (states/eV/cell) = 12.26
- mass density (g/cm³) = 7.2